1.
A plane-wave DFT calculation with PBE was carried out for Nb2V2Mo after structural relaxation.

Cell lengths 6.783, 6.783, 3.580 Å; angles 90.00, 90.00, 90.00 degrees
Fractional positions:
Nb (0.169, 0.331, 0.000)
Nb (0.331, 0.831, 0.000)
Nb (0.669, 0.169, 0.000)
Nb (0.831, 0.669, 0.000)
V (0.136, 0.636, 0.500)
V (0.364, 0.136, 0.500)
V (0.636, 0.864, 0.500)
V (0.864, 0.364, 0.500)
Mo (0.000, 0.000, 0.500)
Mo (0.500, 0.500, 0.500)

Properties
ΔE_f in eV per atom: 0.308

---

2.
A plane-wave DFT calculation with PBE was carried out for NbV2Mo after structural relaxation.

Cell lengths 6.242, 6.242, 6.242 Å; angles 90.00, 90.00, 90.00 degrees
Fractional positions:
Nb (0.000, 0.000, 0.000)
Nb (0.000, 0.500, 0.500)
Nb (0.500, 0.000, 0.500)
Nb (0.500, 0.500, 0.000)
V (0.250, 0.250, 0.250)
V (0.250, 0.250, 0.750)
V (0.250, 0.750, 0.250)
V (0.250, 0.750, 0.750)
V (0.750, 0.250, 0.250)
V (0.750, 0.250, 0.750)
V (0.750, 0.750, 0.250)
V (0.750, 0.750, 0.750)
Mo (0.000, 0.000, 0.500)
Mo (0.000, 0.500, 0.000)
Mo (0.500, 0.000, 0.000)
Mo (0.500, 0.500, 0.500)

Properties
ΔE_f in eV per atom: -0.037

---

3.
A plane-wave DFT calculation with PBE was carried out for Nb6VMo2 after structural relaxation.

Cell lengths 7.586, 7.586, 4.410 Å; angles 106.84, 106.84, 48.43 degrees
Fractional positions:
Nb (0.082, 0.589, 0.335)
Nb (0.243, 0.757, 0.000)
Nb (0.411, 0.918, 0.665)
Nb (0.589, 0.082, 0.335)
Nb (0.757, 0.243, 0.000)
Nb (0.918, 0.411, 0.665)
V (0.000, 0.000, 0.500)
Mo (0.334, 0.334, 0.834)
Mo (0.666, 0.666, 0.166)

Properties
ΔE_f in eV per atom: 0.647